The following is a PBE-GGA calculation of crystalline Ho4PI5 at its relaxed geometry, from Alexandria.

Unit cell a=9.6929 b=9.6929 c=8.6666 alpha=102.35 beta=102.35 gamma=24.45
Fractional positions:
Ho 0.0007 0.0007 0.2965
Ho 0.3587 0.3587 0.4297
Ho 0.6413 0.6413 0.5703
Ho 0.9993 0.9993 0.7035
P 0.5000 0.5000 0.5000
I 0.1649 0.1649 0.8373
I 0.1709 0.1709 0.3263
I 0.5000 0.5000 0.0000
I 0.8291 0.8291 0.6737
I 0.8351 0.8351 0.1627

## Properties
The value obtained for the total magnetic moment is 0.0 μB/f.u. Its uncorrected formation energy is -1247.0 kJ/mol of formula units. The calculation puts the density at 6.692 Mg/m³. Its calculated volume is 329 Å³ per cell.